The following is a PBE calculation of crystalline AcInGe2 at its relaxed geometry, from Alexandria via LeMat-Bulk.

Unit cell a=4.419 b=4.419 c=10.910 alpha=90.00 beta=90.00 gamma=90.00
Space group P4_2mc (No. 105)
Unique sites:
Ac 0.000 0.000 0.000 [2 per cell]
In 0.000 0.500 0.266 [2 per cell]
Ge 0.000 0.500 0.751 [2 per cell]
Ge 0.500 0.500 0.089 [2 per cell]

Computed properties:
formation energy = -0.3981 eV/atom
energy above the most stable polymorph in this dataset = 0.00 eV per formula unit
N(E_F) = 3.4 states/eV per cell